# 1
12
Lattice="-1.917 3.945 -2.593 -6.704 -0.931 3.539 3.741 4.715 4.408" Properties=species:S:1:pos:R:3 comment="DyCdAg | Alexandria via LeMat-Bulk | PBE | optimized geometry" dos_at_fermi_per_ev_cell=7.0 formation_enthalpy_0k_ev_per_atom=-0.255 pbc="T T T"
Dy -3.021 2.922 4.177
Dy -1.860 4.807 1.177
Dy -4.892 0.565 1.972
Dy 0.011 7.163 3.381
Cd 2.542 5.121 3.410
Cd 0.671 2.765 1.205
Cd -7.422 2.608 1.944
Cd -5.551 4.964 4.149
Ag -4.654 3.707 1.569
Ag -2.098 1.665 1.580
Ag -0.227 4.022 3.785
Ag -2.783 6.063 3.774

=====

# 2
4
Lattice="-2.998 -3.689 1.542 0.743 -4.668 -1.625 1.737 -3.488 3.129" Properties=species:S:1:pos:R:3 comment="DyCd2Ag | Alexandria via LeMat-Bulk | PBE | optimized geometry" dos_at_fermi_per_ev_cell=2.0 formation_enthalpy_0k_ev_per_atom=-0.236 pbc="T T T"
Cd -0.389 -8.884 2.285
Cd -0.130 -2.961 0.762
Ag -0.259 -5.923 1.523
Dy 0.000 0.000 0.000